(1)
The following is a GGA-PBE calculation of a geometry-optimized SrCaNb3 structure, from Alexandria.

Cell: 5.089 5.089 5.089 Å, 90.00 90.00 90.00°
Space group Pm-3m (No. 221)
Unique sites:
1 Sr 0.000 0.000 0.000 [1 per cell]
2 Ca 0.500 0.500 0.500 [1 per cell]
3 Nb 0.000 0.500 0.500 [3 per cell]

Output
For the energy of formation from the pure elements, the calculation gives 2018 meV per atom. The spin magnetization comes out at 0.40 μB/atom. The energy relative to the lowest polymorph listed for this composition is 0.00 kJ per mole of atoms. Its density of states at the Fermi level is 7.76 states/eV/cell.

---

(2)
The following is a GGA-PBE calculation of a geometry-optimized Be2GaIr2 structure, from Alexandria.

Cell: 6.459 6.459 2.826 Å, 90.00 90.00 90.00°
Space group P4/mbm (No. 127)
Unique sites:
1 Be 0.121 0.379 0.000 [4 per cell]
2 Ga 0.000 0.000 0.000 [2 per cell]
3 Ir 0.173 0.673 0.500 [4 per cell]

Output
For the energy of formation from the pure elements, the calculation gives -451 meV per atom. The spin magnetization comes out at 0.00 μB/atom. The energy relative to the lowest polymorph listed for this composition is 0.00 kJ per mole of atoms. Its density of states at the Fermi level is 3.35 states/eV/cell.